An optimized crystal structure of Ti2SiW. Source: the Alexandria database, functional PBE.

Results
**Magnetization**: 0.00 μB per formula unit
**Density**: 7.71 g cm⁻³
**Formation energy without anion corrections**: 1.22 eV/f.u.

Cell lengths 7.2996, 7.2996, 5.7297 Å; angles 50.43, 50.43, 90.00 degrees
Element x y z (fractional)
Si 0.5000 0.5000 0.0000
Si 0.2500 0.7500 0.5000
W 0.0000 0.0000 0.0000
W 0.7500 0.2500 0.5000
Ti 0.5963 0.1250 0.2500
Ti 0.1537 0.6250 0.2500
Ti 0.3750 0.4037 0.7500
Ti 0.8750 0.8463 0.7500